Entry 1:
## RbZrBe3 (PBE)

Data for RbZrBe3 after structural relaxation.

D(E_F)   0.586 states/eV per atom
E above lowest polymorph   3.88 eV per formula unit
Energy of formation   2.201 eV/atom
Magnetization   0.00 μB/f.u.
Volume   98.67 Å³/cell
Crystal system   cubic

The structure in CIF format:
```
data_RbZrBe3
_cell_length_a 4.621
_cell_length_b 4.621
_cell_length_c 4.621
_cell_angle_alpha 90.00
_cell_angle_beta 90.00
_cell_angle_gamma 90.00
_symmetry_space_group_name_H-M 'P m -3 m'
_symmetry_Int_Tables_number 221
_symmetry_space_group_name_Hall '-P 4 2 3'
loop_
_atom_site_label
_atom_site_fract_x
_atom_site_fract_y
_atom_site_fract_z
Rb1 0.000 0.000 0.000
Zr1 0.500 0.500 0.500
Be1 0.000 0.000 0.500
```



Entry 2:
## NpAgPO (PBE)

Data for NpAgPO after structural relaxation.

D(E_F)   1.924 states/eV per atom
Formation energy from raw total energies   -1.35 eV per atom
Magnetization   3.05 μB/f.u.
Volume   131.04 Å³/cell
Crystal system   tetragonal

The structure in CIF format:
```
data_NpAgPO
_cell_length_a 3.887
_cell_length_b 3.887
_cell_length_c 8.674
_cell_angle_alpha 90.00
_cell_angle_beta 90.00
_cell_angle_gamma 90.00
_symmetry_space_group_name_H-M 'P 4/n m m'
_symmetry_Int_Tables_number 129
loop_
_symmetry_equiv_pos_as_xyz
'x,y,z'
'-x,-y,-z'
'-y+1/2,x,z'
'y+1/2,-x,-z'
'-x+1/2,-y+1/2,z'
'x+1/2,y+1/2,-z'
'y,-x+1/2,z'
'-y,x+1/2,-z'
'x+1/2,-y,-z'
'-x+1/2,y,z'
'-y,-x,-z'
'y,x,z'
'-x,y+1/2,-z'
'x,-y+1/2,z'
'y+1/2,x+1/2,-z'
'-y+1/2,-x+1/2,z'
loop_
_atom_site_label
_atom_site_fract_x
_atom_site_fract_y
_atom_site_fract_z
Np1 0.250 0.250 0.145
Ag1 0.250 0.750 0.500
P1 0.250 0.250 0.707
O1 0.250 0.750 0.000
```



Entry 3:
## AgH2Pt (PBE)

Data for AgH2Pt after structural relaxation.

D(E_F)   0.223 states/eV per atom
E above lowest polymorph   2.08 eV per formula unit
Magnetization   0.00 μB/f.u.
Volume   162.74 Å³/cell
Crystal system   cubic

The structure in CIF format:
```
data_AgH2Pt
_cell_length_a 5.460
_cell_length_b 5.460
_cell_length_c 5.460
_cell_angle_alpha 90.00
_cell_angle_beta 90.00
_cell_angle_gamma 90.00
_symmetry_space_group_name_H-M 'F m -3 m'
_symmetry_Int_Tables_number 225
_symmetry_space_group_name_Hall '-F 4 2 3'
loop_
_atom_site_label
_atom_site_fract_x
_atom_site_fract_y
_atom_site_fract_z
Ag1 0.000 0.000 0.000
H1 0.250 0.250 0.250
Pt1 0.000 0.000 0.500
```



> The highest D(E_F) belongs to which entry?

NpAgPO



> magnetization of number 2 (NpAgPO)?

3.05 μB/f.u.



> Among the records above, which one has the lowest volume?

RbZrBe3



Please write out number 3 again, unchanged.
## AgH2Pt (PBE)

Data for AgH2Pt after structural relaxation.

D(E_F)   0.223 states/eV per atom
E above lowest polymorph   2.08 eV per formula unit
Magnetization   0.00 μB/f.u.
Volume   162.74 Å³/cell
Crystal system   cubic

The structure in CIF format:
```
data_AgH2Pt
_cell_length_a 5.460
_cell_length_b 5.460
_cell_length_c 5.460
_cell_angle_alpha 90.00
_cell_angle_beta 90.00
_cell_angle_gamma 90.00
_symmetry_space_group_name_H-M 'F m -3 m'
_symmetry_Int_Tables_number 225
_symmetry_space_group_name_Hall '-F 4 2 3'
loop_
_atom_site_label
_atom_site_fract_x
_atom_site_fract_y
_atom_site_fract_z
Ag1 0.000 0.000 0.000
H1 0.250 0.250 0.250
Pt1 0.000 0.000 0.500
```